5
Lattice="4.858 0.000 0.000 0.000 4.858 0.000 0.000 0.000 5.237" Properties=species:S:1:pos:R:3 comment="SrCuW2Se (GGA-PBEsol, relaxed)" dft_energy_ev_per_atom=-4.20 e_form_raw_kj_per_mol_atoms=321.4 spacegroup="P4/mmm (123)" magmom_total_mub_per_cell=1.36 pbc="T T T"
Cu 2.429 2.429 2.619
W 2.429 0.000 0.000
W 0.000 2.429 0.000
Sr 0.000 0.000 0.000
Se 0.000 0.000 2.619